Rb2YBeGe | PBE | optimized geometry

Calculated values
Total DFT energy (no corrections) = -2.553 eV/atom

```
data_Rb2YBeGe
_chemical_formula_sum 'Rb2 Y1 Be1 Ge1'
_symmetry_space_group_name_H-M 'P 1'
_symmetry_Int_Tables_number 1
_symmetry_space_group_name_Hall 'P 1'
_cell_length_a 6.875
_cell_length_b 5.477
_cell_length_c 6.875
_cell_angle_alpha 90.00
_cell_angle_beta 90.00
_cell_angle_gamma 90.00
loop_
_atom_site_label
_atom_site_fract_x
_atom_site_fract_y
_atom_site_fract_z
Y1 0.000 0.500 0.000
Be1 0.500 0.500 0.500
Ge1 0.000 0.000 0.000
Rb1 0.000 0.000 0.500
Rb2 0.500 0.000 0.000
```



BeReGe2 | PBE | optimized geometry

Calculated values
Total DFT energy (no corrections) = -5.389 eV/atom

```
data_BeReGe2
_chemical_formula_sum 'Be2 Re2 Ge4'
_symmetry_space_group_name_H-M 'P 1'
_symmetry_Int_Tables_number 1
_symmetry_space_group_name_Hall 'P 1'
_cell_length_a 5.872
_cell_length_b 5.872
_cell_length_c 6.121
_cell_angle_alpha 61.34
_cell_angle_beta 61.34
_cell_angle_gamma 90.00
loop_
_atom_site_label
_atom_site_fract_x
_atom_site_fract_y
_atom_site_fract_z
Re1 0.000 0.000 0.000
Re2 0.750 0.250 0.500
Ge1 0.604 0.125 0.250
Ge2 0.146 0.625 0.250
Ge3 0.375 0.396 0.750
Ge4 0.875 0.854 0.750
Be1 0.500 0.500 0.000
Be2 0.250 0.750 0.500
```



BeReGe3 | PBE | optimized geometry

Calculated values
Total DFT energy (no corrections) = -5.195 eV/atom
Polymorph energy (0 for the lowest one) = 0.0 meV per atom

```
data_BeReGe3
_chemical_formula_sum 'Be1 Re1 Ge3'
_symmetry_space_group_name_H-M 'P 1'
_symmetry_Int_Tables_number 1
_symmetry_space_group_name_Hall 'P 1'
_cell_length_a 4.842
_cell_length_b 4.842
_cell_length_c 4.842
_cell_angle_alpha 90.00
_cell_angle_beta 90.00
_cell_angle_gamma 90.00
loop_
_atom_site_label
_atom_site_fract_x
_atom_site_fract_y
_atom_site_fract_z
Re1 0.000 0.000 0.000
Ge1 0.000 0.500 0.000
Ge2 0.000 0.000 0.500
Ge3 0.500 0.000 0.000
Be1 0.500 0.500 0.500
```



BeReGe3 | PBE | optimized geometry

Calculated values
Total DFT energy (no corrections) = -4.859 eV/atom
Polymorph energy (0 for the lowest one) = 336.8 meV per atom

```
data_BeReGe3
_chemical_formula_sum 'Be1 Re1 Ge3'
_symmetry_space_group_name_H-M 'P 1'
_symmetry_Int_Tables_number 1
_symmetry_space_group_name_Hall 'P 1'
_cell_length_a 4.389
_cell_length_b 4.389
_cell_length_c 4.389
_cell_angle_alpha 90.00
_cell_angle_beta 90.00
_cell_angle_gamma 90.00
loop_
_atom_site_label
_atom_site_fract_x
_atom_site_fract_y
_atom_site_fract_z
Re1 0.500 0.500 0.500
Ge1 0.000 0.500 0.000
Ge2 0.000 0.000 0.500
Ge3 0.500 0.000 0.000
Be1 0.000 0.000 0.000
```